# 1
DFT (GGA-PBE) results for a relaxed structure of LiSc4Ta3N8.

```
LiSc4Ta3N8
1.0
3.1252 1.8043 5.1319
-3.1252 1.8043 5.1319
0.0000 -3.6086 5.1319
Li Sc Ta N
1 4 3 8
Cartesian
0.0000 0.0000 0.0000
-3.1252 0.0000 7.6978
-1.5626 0.9022 2.5659
1.5626 0.9022 2.5659
0.0000 0.0000 7.6978
-1.5626 -0.9022 5.1319
-1.5626 0.9022 10.2637
0.0000 1.8043 5.1318
0.0000 0.0000 3.8784
0.0000 -1.7513 6.3698
-1.5166 0.8756 6.3698
-1.5166 -0.8756 9.0257
1.5166 0.8756 6.3698
1.5166 -0.8756 9.0257
0.0000 1.7513 9.0257
0.0000 0.0000 11.5171
```

Results
**SG**: No. 166
**E_form (uncorrected)**: -1.55 eV per atom

---

# 2
DFT (GGA-PBE) results for a relaxed structure of LiSc2TcN.

```
LiSc2TcN
1.0
4.4330 0.0000 0.0000
0.0000 4.4330 0.0000
0.0000 0.0000 3.7935
Li Sc Tc N
1 2 1 1
Cartesian
0.0000 0.0000 0.0000
0.0000 2.2165 1.8968
2.2165 0.0000 1.8968
2.2165 2.2165 0.0000
0.0000 0.0000 1.8968
```

Results
**SG**: No. 123
**E_form (uncorrected)**: -0.41 eV per atom

---

# 3
DFT (GGA-PBE) results for a relaxed structure of LiScTe2N.

```
LiScTe2N
1.0
5.1952 0.0000 0.0000
0.0000 5.1952 0.0000
0.0000 0.0000 3.7023
Li Sc Te N
1 1 2 1
Cartesian
0.0000 0.0000 0.0000
2.5976 2.5976 1.8511
0.0000 2.5976 0.0000
2.5976 0.0000 0.0000
0.0000 0.0000 1.8511
```

Results
**SG**: No. 123
**E_form (uncorrected)**: 0.28 eV per atom
**Energy relative to the lowest polymorph listed for this composition**: 0.404 eV per atom

---

# 4
DFT (GGA-PBE) results for a relaxed structure of LiScTe2N.

```
LiScTe2N
1.0
4.7761 0.0000 0.0000
0.0000 4.7761 0.0000
0.0000 0.0000 5.0447
Li Sc Te N
1 1 2 1
Cartesian
0.0000 0.0000 0.0000
0.0000 0.0000 2.5224
0.0000 2.3880 0.0000
2.3880 0.0000 0.0000
2.3880 2.3880 2.5224
```

Results
**SG**: No. 123
**E_form (uncorrected)**: 0.92 eV per atom
**Energy relative to the lowest polymorph listed for this composition**: 1.037 eV per atom

---

# 5
DFT (GGA-PBE) results for a relaxed structure of LiScTe2N.

```
LiScTe2N
1.0
5.8372 0.0000 0.0000
0.0000 5.8372 0.0000
0.0000 0.0000 3.9091
Li Sc Te N
1 1 2 1
Cartesian
0.0000 0.0000 0.0000
2.9186 2.9186 1.9545
0.0000 2.9186 1.9545
2.9186 0.0000 1.9545
2.9186 2.9186 0.0000
```

Results
**SG**: No. 123
**E_form (uncorrected)**: -0.12 eV per atom
**Energy relative to the lowest polymorph listed for this composition**: 0.000 eV per atom

---

# 6
DFT (GGA-PBE) results for a relaxed structure of LiSc2TiN.

```
LiSc2TiN
1.0
4.5229 0.0000 0.0000
0.0000 4.5229 0.0000
0.0000 0.0000 4.0863
Li Sc Ti N
1 2 1 1
Cartesian
0.0000 0.0000 0.0000
0.0000 2.2615 2.0432
2.2615 0.0000 2.0432
2.2615 2.2615 0.0000
2.2615 2.2615 2.0432
```

Results
**SG**: No. 123
**E_form (uncorrected)**: -0.62 eV per atom

---

# 7
DFT (GGA-PBE) results for a relaxed structure of Li4ScU3N8.

```
Li4ScU3N8
1.0
3.4101 1.9688 5.0326
-3.4101 1.9688 5.0326
0.0000 -3.9377 5.0326
Li Sc U N
4 1 3 8
Cartesian
0.0000 0.0000 0.0000
-1.7051 -0.9844 5.0326
-1.7051 0.9844 10.0653
0.0000 1.9688 5.0326
0.0000 0.0000 7.5489
-3.4101 0.0000 7.5489
-1.7051 0.9844 2.5163
1.7051 0.9844 2.5163
-1.7680 -1.0207 8.5858
0.0000 0.0000 3.5922
0.0000 -2.0415 6.5121
-1.7680 1.0207 6.5121
1.7679 -1.0207 8.5858
0.0000 2.0415 8.5858
0.0000 0.0000 11.5057
1.7679 1.0207 6.5121
```

Results
**SG**: No. 166
**E_form (uncorrected)**: -1.16 eV per atom

---

# 8
DFT (GGA-PBE) results for a relaxed structure of LiSc2WN4.

```
LiSc2WN4
1.0
0.0000 4.4959 3.0954
3.0849 0.0000 3.0954
3.0849 4.4959 0.0000
Li Sc W N
1 2 1 4
Cartesian
0.0000 0.0000 0.0000
1.5424 2.2480 1.5337
4.6273 6.7439 4.6291
3.0849 4.4959 3.2642
3.0849 2.4513 3.0570
4.5512 4.4959 4.5758
3.0849 6.5405 3.0570
1.6185 4.4959 4.5758
```

Results
**SG**: No. 42
**E_form (uncorrected)**: -1.22 eV per atom